DFT (PBE-GGA) results for a relaxed La2Pm7Ho2 crystal.

Calculated values
V (A^3/atom): 35.4
Magnetic moment (μB per formula unit): 0.00

The structure in POSCAR format:
```
La2Pm7Ho2
1.0
-1.814 9.121 5.882
1.814 -9.121 5.882
1.814 9.121 -5.882
La Pm Ho
2 7 2
Direct
0.205 0.000 0.205 La
0.795 0.000 0.795 La
0.068 0.068 0.000 Pm
0.081 0.749 0.332 Pm
0.389 0.506 0.883 Pm
0.417 0.749 0.668 Pm
0.585 0.251 0.334 Pm
0.623 0.506 0.117 Pm
0.917 0.251 0.666 Pm
0.332 0.832 0.500 Ho
0.757 0.757 0.000 Ho
```


DFT (PBE-GGA) results for a relaxed LaPm5Ho3 crystal.

Calculated values
V (A^3/atom): 33.8
Magnetic moment (μB per formula unit): 0.00

The structure in POSCAR format:
```
LaPm5Ho3
1.0
8.850 -4.702 0.000
8.850 4.702 0.000
0.000 0.000 7.305
La Pm Ho
2 10 6
Direct
0.197 0.803 0.750 La
0.803 0.197 0.250 La
0.011 0.658 0.000 Pm
0.011 0.658 0.500 Pm
0.165 0.835 0.250 Pm
0.342 0.989 0.000 Pm
0.342 0.989 0.500 Pm
0.658 0.011 0.000 Pm
0.658 0.011 0.500 Pm
0.835 0.165 0.750 Pm
0.989 0.342 0.000 Pm
0.989 0.342 0.500 Pm
0.322 0.323 0.750 Ho
0.323 0.322 0.250 Ho
0.500 0.500 0.000 Ho
0.500 0.500 0.500 Ho
0.677 0.678 0.750 Ho
0.678 0.677 0.250 Ho
```


DFT (PBE-GGA) results for a relaxed La4Pm2Ho5 crystal.

Calculated values
V (A^3/atom): 33.9
Magnetic moment (μB per formula unit): 0.00

The structure in POSCAR format:
```
La4Pm2Ho5
1.0
8.916 -1.777 0.000
8.916 1.777 0.000
-0.939 0.000 11.778
La Pm Ho
4 2 5
Direct
0.037 0.037 0.260 La
0.359 0.359 0.203 La
0.641 0.641 0.797 La
0.963 0.963 0.740 La
0.286 0.286 0.646 Pm
0.714 0.714 0.354 Pm
0.097 0.097 0.541 Ho
0.178 0.178 0.068 Ho
0.500 0.500 0.000 Ho
0.822 0.822 0.932 Ho
0.903 0.903 0.459 Ho
```


no.,ΔE to the lowest computed polymorph (eV/atom),formation enthalpy at 0 K (eV per atom),electronic total energy (eV/atom)
1,0.027,0.170,-4.581
2,0.000,0.128,-4.585
3,0.000,0.086,-4.651